Material: NiN2F14
Method: DFT, PBE+U
State: optimized geometry

Calculated values
The calculation puts the density of states at the Fermi level at 0.00 states/eV/f.u. Its energy is -56.5 eV per formula unit. As for the space-group type: I4/m, No. 87.

Structure (CIF):
```
data_NiN2F14
_chemical_formula_sum 'Ni1 N2 F14'
_space_group_name_H-M_alt 'P 1'
_space_group_IT_number 1
_cell_length_a 6.7607
_cell_length_b 6.7607
_cell_length_c 6.7607
_cell_angle_alpha 119.23
_cell_angle_beta 119.23
_cell_angle_gamma 91.34
loop_
_space_group_symop_operation_xyz
'x,y,z'
loop_
_atom_site_label
_atom_site_fract_x
_atom_site_fract_y
_atom_site_fract_z
_atom_site_occupancy
F1 0.7709 0.8665 0.6374 1
F2 0.6916 0.4092 0.4376 1
F3 0.8091 0.8091 0.0000 1
F4 0.8665 0.2291 0.0956 1
F5 0.1335 0.7709 0.9044 1
F6 0.4092 0.9716 0.7176 1
F7 0.5908 0.0284 0.2824 1
Ni1 0.0000 0.0000 0.0000 1
F8 0.2291 0.1335 0.3626 1
F9 0.2540 0.6916 0.2824 1
F10 0.0284 0.7460 0.4376 1
N1 0.7500 0.2500 0.5000 1
F11 0.3084 0.5908 0.5624 1
F12 0.1909 0.1909 0.0000 1
N2 0.2500 0.7500 0.5000 1
F13 0.7460 0.3084 0.7176 1
F14 0.9716 0.2540 0.5624 1
```